A plane-wave DFT calculation with PBE was carried out for a relaxed structure of Dy2AgC. Values from VASP.

- Electronic total energy: -5.57 eV per atom

Structure (Quantum ESPRESSO input):
```
&SYSTEM
  ibrav = 0, nat = 4, ntyp = 3
/
ATOMIC_SPECIES
C 12.01 C.upf
Ag 107.87 Ag.upf
Dy 162.50 Dy.upf
CELL_PARAMETERS angstrom
3.6542 0.0000 0.0000
1.8271 3.1646 0.0000
1.8271 1.0549 7.3434
ATOMIC_POSITIONS angstrom
C 0.0000 0.0000 0.0000
Ag 3.6542 2.1097 3.6717
Dy 5.4812 3.1646 6.0124
Dy 1.8271 1.0549 1.3311
```